1.
# NaLiI3, optimized geometry, DFT PBE
data_NaLiI3
_chemical_formula_sum 'Na1 Li1 I3'
_space_group_name_H-M_alt 'P 1'
_space_group_IT_number 1
_cell_length_a 5.6733
_cell_length_b 5.6733
_cell_length_c 5.6733
_cell_angle_alpha 90.00
_cell_angle_beta 90.00
_cell_angle_gamma 90.00
loop_
_space_group_symop_operation_xyz
'x,y,z'
loop_
_atom_site_label
_atom_site_type_symbol
_atom_site_fract_x
_atom_site_fract_y
_atom_site_fract_z
Na1 Na 0.0000 0.0000 0.0000
Li1 Li 0.5000 0.5000 0.5000
I1 I 0.0000 0.5000 0.5000
I2 I 0.5000 0.0000 0.5000
I3 I 0.5000 0.5000 0.0000
# **Raw formation energy**: -0.706 eV/atom
# **Density of states at the Fermi level**: 1.41 states/eV/atom
# **Total magnetization**: 0.00 μB per formula unit


2.
# LiGaSe2O8, optimized geometry, DFT PBE
data_LiGaSe2O8
_chemical_formula_sum 'Li1 Ga1 Se2 O8'
_space_group_name_H-M_alt 'P 1'
_space_group_IT_number 1
_cell_length_a 5.7026
_cell_length_b 5.7026
_cell_length_c 5.7026
_cell_angle_alpha 105.59
_cell_angle_beta 105.59
_cell_angle_gamma 117.54
loop_
_space_group_symop_operation_xyz
'x,y,z'
loop_
_atom_site_label
_atom_site_type_symbol
_atom_site_fract_x
_atom_site_fract_y
_atom_site_fract_z
Li1 Li 0.0000 0.0000 0.0000
Ga1 Ga 0.2500 0.7500 0.5000
Se1 Se 0.5000 0.5000 0.0000
Se2 Se 0.7500 0.2500 0.5000
O1 O 0.3205 0.1324 0.8119
O2 O 0.3205 0.5086 0.1881
O3 O 0.3780 0.0594 0.3186
O4 O 0.4914 0.6795 0.8119
O5 O 0.7409 0.0594 0.6814
O6 O 0.8676 0.6795 0.1881
O7 O 0.9406 0.2591 0.3186
O8 O 0.9406 0.6220 0.6814
# **Raw formation energy**: -0.880 eV/atom
# **Density of states at the Fermi level**: 0.00 states/eV/atom
# **Total magnetization**: 0.00 μB per formula unit


Q: Among the records above, which one has the lowest raw formation energy?
A: LiGaSe2O8


Q: The lowest density of states at the Fermi level belongs to which entry?
A: LiGaSe2O8


Q: The highest raw formation energy belongs to which entry?
A: NaLiI3


Q: Which value of density of states at the Fermi level does entry 1 give?
A: 1.41 states/eV/atom